The following is a GGA-PBE calculation of crystalline SrMnCo at its relaxed geometry, from the Alexandria database.

Calculated values
E: -5.190 eV per atom
E above lowest polymorph: 541 meV/atom
ΔH_f (0 K): 0.80 eV per atom
theoretical density: 4.85 g/cm3
volume: 23.01 Å³/atom

a b c (Å): 4.6047 4.6047 4.6047
angles (deg): 60.00 60.00 60.00
Atoms (fractional coordinates):
Co1 0.5000 0.5000 0.5000
Mn1 0.2500 0.2500 0.2500
Sr1 0.7500 0.7500 0.7500